Compound: TbCe3Tl4
Source: Alexandria
Functional: GGA-PBE
Structure: relaxed

Values from the calculation:
**Crystal system**: tetragonal
**Raw total energy**: -4.257 eV/atom
**DOS(E_F)**: 20.535 states/eV/f.u.

a = 3.514 Å, b = 3.514 Å, c = 18.326 Å
α = 90.00°, β = 90.00°, γ = 90.00°
Fractional positions:
Ce (0.500, 0.500, 0.246)
Ce (0.500, 0.500, 0.500)
Tl (0.000, 0.000, 0.120)
Tl (0.000, 0.000, 0.627)
Tl (0.000, 0.000, 0.880)
Ce (0.500, 0.500, 0.754)
Tl (0.000, 0.000, 0.373)
Tb (0.500, 0.500, 0.000)